[1]
First-principles (PBE) data for crystalline Tm7Al5Cd at its relaxed geometry, as listed in the Alexandria database.

As for the formation energy: -206 meV per atom. The calculation puts the energy at -4.12 eV/atom. The calculated volume is 24.4 A^3/atom. As for the spin magnetization: 0.0 μB per cell.

The space group is Imm2 (No. 44) and the conventional cell measures 6.158, 9.855 and 10.474 Å, with angles of 90.00, 90.00 and 90.00 degrees. The distinct sites, in fractional coordinates, are Tm at (0.000, 0.000, 0.000), Tm at (0.000, 0.000, 0.364), Tm at (0.000, 0.316, 0.584), Tm at (0.000, 0.332, 0.076), Tm at (0.000, 0.500, 0.329), Al at (0.000, 0.500, 0.827), Al at (0.225, 0.244, 0.835) and Cd at (0.000, 0.000, 0.676).


[2]
First-principles (PBE) data for crystalline LiRePt at its relaxed geometry, as listed in the Alexandria database.

As for the formation energy: 136 meV per atom. The calculation puts the energy at -6.66 eV/atom. The calculated volume is 15.0 A^3/atom. As for the spin magnetization: 0.0 μB per cell.

The space group is Fmm2 (No. 42) and the conventional cell measures 2.775, 4.605 and 14.040 Å, with angles of 90.00, 90.00 and 90.00 degrees. The distinct sites, in fractional coordinates, are Li at (0.000, 0.000, 0.000), Re at (0.000, 0.000, 0.329) and Pt at (0.000, 0.000, 0.659).


[3]
First-principles (PBE) data for crystalline MgAgTe at its relaxed geometry, as listed in the Alexandria database.

The calculation puts the energy at -2.67 eV/atom. The value obtained for the raw formation energy is -145 meV/atom. The calculated volume is 23.5 A^3/atom. As for the spin magnetization: 0.0 μB per cell.

The space group is Fmm2 (No. 42) and the conventional cell measures 5.588, 5.631 and 8.950 Å, with angles of 90.00, 90.00 and 90.00 degrees. The distinct sites, in fractional coordinates, are Mg at (0.000, 0.000, 0.000), Ag at (0.000, 0.000, 0.673) and Te at (0.000, 0.000, 0.348).


[4]
First-principles (PBE) data for crystalline SmHo2NpO8 at its relaxed geometry, as listed in the Alexandria database.

The calculation puts the energy at -8.71 eV/atom. The value obtained for the raw formation energy is -3174 meV/atom. The calculated volume is 15.3 A^3/atom. As for the spin magnetization: 0.1 μB per cell.

The space group is Cmmm (No. 65) and the conventional cell measures 7.195, 7.233 and 7.053 Å, with angles of 90.00, 90.00 and 90.00 degrees. The distinct sites, in fractional coordinates, are Sm at (0.000, 0.000, 0.000), Ho at (0.000, 0.500, 0.240), Np at (0.000, 0.000, 0.500), O at (0.000, 0.186, 0.281), O at (0.186, 0.500, 0.000) and O at (0.220, 0.500, 0.500).